(1)
VASP calculation (PBE-GGA) on a geometry-optimized Tm3NpB4O12 structure.

Output
**Space group**: R32, No. 155
**DFT total energy**: -172.13 eV/cell
**Density**: 6.54 g/cm3
**Size of the total moment**: 4.00 μB/f.u.

a b c (Å): 6.4808 6.4808 6.4808
angles (deg): 102.70 102.70 102.70
With the nearest neighbours (Å) after each atom.
Positions (direct):
Tm: 0.0000 0.5390 0.4610  6 O 2.22-2.25
Tm: 0.4610 0.0000 0.5390  6 O 2.22-2.25
Tm: 0.5390 0.4610 0.0000  6 O 2.22-2.25
Np: 0.0000 0.0000 0.0000  6 O 2.48
B: 0.0399 0.5000 0.9601  3 O 1.38-1.39
B: 0.5000 0.5000 0.5000  3 O 1.38
B: 0.5000 0.9601 0.0399  3 O 1.38-1.39
B: 0.9601 0.0399 0.5000  3 O 1.38-1.39
O: 0.0289 0.6325 0.8185  1 B 1.39
O: 0.0967 0.9033 0.5000  1 B 1.38
O: 0.1815 0.3675 0.9711  1 B 1.39
O: 0.3633 0.6367 0.5000  1 B 1.38
O: 0.3675 0.9711 0.1815  1 B 1.39
O: 0.5000 0.0967 0.9033  1 B 1.38
O: 0.5000 0.3633 0.6367  1 B 1.38
O: 0.6325 0.8185 0.0289  1 B 1.39
O: 0.6367 0.5000 0.3633  1 B 1.38
O: 0.8185 0.0289 0.6325  1 B 1.39
O: 0.9033 0.5000 0.0967  1 B 1.38
O: 0.9711 0.1815 0.3675  1 B 1.39

(2)
VASP calculation (PBE-GGA) on a geometry-optimized NpZnBO6 structure.

Output
**Space group**: P-31c, No. 163
**DFT total energy**: -132.11 eV/cell
**Density**: 7.20 g/cm3
**Size of the total moment**: 0.00 μB/f.u.

a b c (Å): 4.9326 4.9326 8.9633
angles (deg): 90.00 90.00 120.00
With the nearest neighbours (Å) after each atom.
Positions (direct):
Np: 0.3333 0.6667 0.2500  6 O 2.03
Np: 0.6667 0.3333 0.7500  6 O 2.03
Zn: 0.0000 0.0000 0.0000  6 O 2.16
Zn: 0.0000 0.0000 0.5000  6 O 2.16
B: 0.3333 0.6667 0.7500  6 O 1.74
B: 0.6667 0.3333 0.2500  6 O 1.74
O: 0.0449 0.3768 0.6392  1 B 1.74
O: 0.0449 0.6682 0.8608  1 B 1.74
O: 0.3318 0.3768 0.8608  1 B 1.74
O: 0.3318 0.9551 0.6392  1 B 1.74
O: 0.3768 0.0449 0.1392  1 B 1.74
O: 0.3768 0.3318 0.3608  1 B 1.74
O: 0.6232 0.6682 0.6392  1 B 1.74
O: 0.6232 0.9551 0.8608  1 B 1.74
O: 0.6682 0.0449 0.3608  1 B 1.74
O: 0.6682 0.6232 0.1392  1 B 1.74
O: 0.9551 0.3318 0.1392  1 B 1.74
O: 0.9551 0.6232 0.3608  1 B 1.74